CeSmAl2Ga2 | GGA-PBE | optimized geometry

Cell: 4.3211 4.3211 8.3607 Å, 90.00 90.00 120.00°
With the nearest neighbours (Å) after each atom.
Positions (direct):
Al1 0.3333 0.6667 0.7523  3 Ga 2.49
Al2 0.6667 0.3333 0.2477  3 Ga 2.49
Ce1 0.0000 0.0000 0.0000  6 Ga 3.24, 6 Al 3.24
Sm1 0.0000 0.0000 0.5000  6 Al 3.27, 6 Ga 3.27
Ga1 0.6667 0.3333 0.7526  3 Al 2.49
Ga2 0.3333 0.6667 0.2474  3 Al 2.49

D(E_F) = 6.756 states/eV per cell
DFT formation energy = -0.54 eV per atom
Uncorrected energy = -27.46 eV for the cell shown


NpTl2Sb | GGA-PBE | optimized geometry

Cell: 5.1203 4.5812 4.5812 Å, 90.00 90.00 90.00°
With the nearest neighbours (Å) after each atom.
Positions (direct):
Tl1 0.0000 0.5000 0.0000  4 Tl 3.24, 4 Sb 3.44, 4 Np 3.44
Tl2 0.0000 0.0000 0.5000  4 Tl 3.24, 4 Sb 3.44, 4 Np 3.44
Sb1 0.5000 0.5000 0.5000  4 Np 3.24, 8 Tl 3.44
Np1 0.5000 0.0000 0.0000  4 Sb 3.24, 8 Tl 3.44

D(E_F) = 11.261 states/eV per cell
Formation energy without anion corrections = 9 meV/atom
Uncorrected energy = -21.76 eV for the cell shown


Nb3PbF | GGA-PBE | optimized geometry

Cell: 5.2468 5.2468 5.2468 Å, 90.00 90.00 90.00°
With the nearest neighbours (Å) after each atom.
Positions (direct):
Nb1 0.0000 0.5000 0.0000  2 Pb 2.62
Nb2 0.0000 0.0000 0.5000  2 Pb 2.62
Nb3 0.5000 0.0000 0.0000  2 Pb 2.62
Pb1 0.0000 0.0000 0.0000  6 Nb 2.62
F1 0.5000 0.5000 0.5000  12 Nb 3.71

D(E_F) = 13.503 states/eV per cell
Polymorph energy (0 for the lowest one) = 2.087 eV/atom
Formation energy without anion corrections = 2091 meV/atom
Uncorrected energy = -25.33 eV for the cell shown


TlBi2Pd3 | GGA-PBE | optimized geometry

Cell: 4.9232 8.4830 8.4830 Å, 119.63 106.75 106.75°
With the nearest neighbours (Å) after each atom.
Positions (direct):
Pd1 0.5220 0.3525 0.1905  3 Tl 2.93-2.94, 5 Bi 3.02-3.12, 1 Pd 3.19
Pd2 0.5000 0.0000 0.5000  2 Tl 2.96, 6 Bi 3.01-3.05
Pd3 0.4780 0.6475 0.8095  3 Tl 2.93-2.94, 5 Bi 3.02-3.12, 1 Pd 3.19
Pd4 0.0000 0.5000 0.0000  2 Tl 2.96, 6 Bi 3.01-3.05
Pd5 0.0220 0.1905 0.3525  3 Tl 2.93-2.94, 5 Bi 3.02-3.12, 1 Pd 3.19
Pd6 0.9780 0.8095 0.6475  3 Tl 2.93-2.94, 5 Bi 3.02-3.12, 1 Pd 3.19
Bi1 0.2500 0.2443 0.7557  8 Pd 3.01-3.06
Bi2 0.2500 0.9209 0.0791  8 Pd 3.02-3.12
Bi3 0.7500 0.0791 0.9209  8 Pd 3.02-3.12
Bi4 0.7500 0.7557 0.2443  8 Pd 3.01-3.06
Tl1 0.7500 0.4130 0.5870  8 Pd 2.93-2.96
Tl2 0.2500 0.5870 0.4130  8 Pd 2.93-2.96

D(E_F) = 5.608 states/eV per cell
DFT formation energy = -0.18 eV per atom
Polymorph energy (0 for the lowest one) = 0.031 eV/atom
Uncorrected energy = -53.53 eV for the cell shown


LiSe2Cl | GGA-PBE | optimized geometry

Cell: 4.2834 4.2834 8.4700 Å, 79.65 79.65 53.22°
With the nearest neighbours (Å) after each atom.
Positions (direct):
Se1 0.7192 0.7192 0.8120  1 Se 2.24
Se2 0.9515 0.9515 0.9365  1 Se 2.24
Cl1 0.5735 0.5735 0.3758  3 Li 2.37-2.43
Li1 0.2558 0.2558 0.3757  3 Cl 2.37-2.43

D(E_F) = 0.893 states/eV per cell
Polymorph energy (0 for the lowest one) = 0.043 eV/atom
Formation energy without anion corrections = -726 meV/atom
Uncorrected energy = -13.63 eV for the cell shown


CsZrH2Cl8 | GGA-PBE | optimized geometry

Cell: 8.1654 6.1294 11.2421 Å, 105.29 99.18 45.53°
With the nearest neighbours (Å) after each atom.
Positions (direct):
Zr1 0.0000 0.0000 0.0000  6 Cl 2.38-2.63
Cl1 0.4879 0.2288 0.4973  1 Cl 2.69
Cl2 0.7274 0.5081 0.1738  1 H 1.42
Cl3 0.2335 0.0988 0.9962  1 Zr 2.38
Cl4 0.2726 0.4919 0.8262  1 H 1.42
Cl5 0.7523 0.3052 0.8350  1 H 1.79
Cl6 0.5121 0.7712 0.5027  1 Cl 2.69
Cl7 0.7665 0.9012 0.0038  1 Zr 2.38
Cl8 0.2477 0.6948 0.1650  1 H 1.79
Cs1 0.0000 0.0000 0.5000  4 Cl 3.35-3.43
H1 0.4829 0.4145 0.8330  1 Cl 1.42
H2 0.5171 0.5855 0.1670  1 Cl 1.42

D(E_F) = 1.897 states/eV per cell
Uncorrected energy = -44.51 eV for the cell shown


NaOs2O6 | GGA-PBE | optimized geometry

Cell: 5.0224 5.3353 5.3353 Å, 120.00 90.00 90.00°
With the nearest neighbours (Å) after each atom.
Positions (direct):
O1 0.2971 0.6152 0.0000  2 Os 1.95
O2 0.2971 0.3848 0.3848  2 Os 1.95
O3 0.2971 0.0000 0.6152  2 Os 1.95
O4 0.7029 0.3848 0.0000  2 Os 1.95
O5 0.7029 0.6152 0.6152  2 Os 1.95
O6 0.7029 0.0000 0.3848  2 Os 1.95
Os1 0.5000 0.3333 0.6667  6 O 1.95
Os2 0.5000 0.6667 0.3333  6 O 1.95
Na1 0.0000 0.0000 0.0000  6 O 2.54

D(E_F) = 5.996 states/eV per cell
Polymorph energy (0 for the lowest one) = 0.000 eV/atom
Formation energy without anion corrections = -1107 meV/atom
Uncorrected energy = -63.49 eV for the cell shown


| no. | calculated volume (Å³/cell) |
| --- | --- |
| 1 | 135.2 |
| 2 | 107.5 |
| 3 | 144.4 |
| 4 | 252.3 |
| 5 | 121.9 |
| 6 | 387.1 |
| 7 | 123.8 |